(1)
This record from the Alexandria database describes a relaxed CaSm4S5 crystal. The functional is PBE.

Geometry as POSCAR:
```
CaSm4S5
1.0
1.684 -0.587 5.385
-3.672 -4.644 3.630
4.875 -4.857 0.934
Ca Sm S
1 4 5
direct
0.001 0.000 0.000
0.401 0.401 0.800
0.802 0.800 0.599
0.200 0.200 0.401
0.601 0.599 0.200
0.903 0.395 0.802
0.298 0.802 0.605
0.704 0.198 0.395
0.099 0.605 0.198
0.501 0.000 0.000
```

Properties
crystal system	tetragonal
E_tot	-6.188	eV/atom
uncorrected formation energy	-2.0368	eV per atom
space group	I4/m

---

(2)
This record from the Alexandria database describes a relaxed CaSm4S6 crystal. The functional is PBE.

Geometry as POSCAR:
```
CaSm4S6
1.0
-1.039 -3.661 -1.115
5.391 -0.684 4.274
-12.731 -1.218 15.866
Ca Sm S
2 8 12
direct
0.656 0.313 0.250
0.344 0.687 0.750
0.863 0.725 0.542
0.406 0.812 0.132
0.137 0.275 0.458
0.594 0.188 0.868
0.863 0.725 0.958
0.137 0.275 0.042
0.594 0.188 0.632
0.406 0.812 0.368
0.500 0.000 0.000
0.500 0.000 0.500
0.046 0.092 0.334
0.954 0.908 0.666
0.954 0.908 0.834
0.046 0.092 0.166
0.771 0.543 0.413
0.229 0.457 0.587
0.229 0.457 0.913
0.771 0.543 0.087
0.306 0.612 0.250
0.694 0.388 0.750
```

Properties
crystal system	orthorhombic
E_tot	-6.192	eV/atom
uncorrected formation energy	-2.0422	eV per atom
space group	Cmcm

---

(3)
This record from the Alexandria database describes a relaxed Ca5Sm3S8 crystal. The functional is PBE.

Geometry as POSCAR:
```
Ca5Sm3S8
1.0
-4.414 2.417 -6.243
-2.348 -5.299 -5.541
-7.761 -2.122 -0.483
Ca Sm S
5 3 8
direct
0.500 0.000 0.000
0.500 0.500 0.000
0.000 0.000 0.000
0.000 0.500 0.000
0.500 0.500 0.500
0.500 0.000 0.500
0.000 0.000 0.500
0.000 0.500 0.500
0.250 0.250 0.750
0.250 0.750 0.750
0.750 0.250 0.750
0.749 0.749 0.752
0.750 0.750 0.250
0.750 0.250 0.250
0.250 0.750 0.250
0.251 0.251 0.248
```

Properties
crystal system	trigonal
E_tot	-5.656	eV/atom
uncorrected formation energy	-2.0818	eV per atom
space group	R-3m

---

(4)
This record from the Alexandria database describes a relaxed Ca6SmS8 crystal. The functional is PBE.

Geometry as POSCAR:
```
Ca6SmS8
1.0
7.008 0.000 4.046
2.336 6.607 4.046
0.000 0.000 8.092
Ca Sm S
6 1 8
direct
0.000 0.500 0.500
0.500 0.000 0.000
0.500 0.500 0.000
0.000 0.000 0.500
0.000 0.500 0.000
0.500 0.000 0.500
0.000 0.000 0.000
0.750 0.750 0.750
0.250 0.250 0.250
0.757 0.243 0.243
0.243 0.757 0.757
0.243 0.243 0.757
0.757 0.757 0.243
0.757 0.243 0.757
0.243 0.757 0.243
```

Properties
crystal system	cubic
E_tot	-5.289	eV/atom
uncorrected formation energy	-1.9726	eV per atom
space group	Fm-3m

---

(5)
This record from the Alexandria database describes a relaxed CaSm4S4 crystal. The functional is PBE.

Geometry as POSCAR:
```
CaSm4S4
1.0
3.868 0.000 0.914
1.630 6.508 1.744
-0.053 0.048 8.862
Ca Sm S
1 4 4
direct
0.500 0.000 0.000
0.699 0.395 0.206
0.899 0.803 0.399
0.301 0.605 0.794
0.101 0.197 0.601
0.302 0.096 0.300
0.698 0.904 0.700
0.899 0.300 0.903
0.101 0.700 0.097
```

Properties
crystal system	monoclinic
E_tot	-5.936	eV/atom
uncorrected formation energy	-1.7818	eV per atom
space group	C2/m

---

(6)
This record from the Alexandria database describes a relaxed Ca3Sm4S8 crystal. The functional is PBE.

Geometry as POSCAR:
```
Ca3Sm4S8
1.0
-3.096 0.417 -7.403
6.272 -4.796 1.443
-4.131 -3.607 5.861
Ca Sm S
3 4 8
direct
0.500 0.500 0.000
0.500 0.000 0.500
0.500 0.500 0.500
0.500 0.000 0.000
0.000 0.500 0.000
0.000 0.000 0.000
0.000 0.000 0.500
0.490 0.243 0.243
0.000 0.753 0.247
0.999 0.248 0.248
0.500 0.750 0.250
0.500 0.250 0.750
0.001 0.752 0.752
0.000 0.247 0.753
0.510 0.757 0.757
```

Properties
crystal system	monoclinic
E_tot	-5.934	eV/atom
uncorrected formation energy	-2.0743	eV per atom
space group	C2/m

---

(7)
This record from the Alexandria database describes a relaxed CaSm5S8 crystal. The functional is PBE.

Geometry as POSCAR:
```
CaSm5S8
1.0
-1.181 -3.718 -6.233
4.977 -3.556 4.080
-6.308 0.548 3.738
Ca Sm S
1 5 8
direct
0.250 0.500 0.750
0.004 0.376 0.128
0.872 0.876 0.247
0.753 0.624 0.629
0.500 0.000 0.500
0.371 0.124 0.996
0.129 0.751 0.023
0.977 0.106 0.728
0.764 0.247 0.368
0.632 0.396 0.879
0.483 0.604 0.236
0.622 0.894 0.871
0.272 0.249 0.378
0.121 0.753 0.517
```

Properties
crystal system	tetragonal
E_tot	-6.235	eV/atom
uncorrected formation energy	-2.0480	eV per atom
space group	I-4

---

(8)
This record from the Alexandria database describes a relaxed CaSmS2 crystal. The functional is PBE.

Geometry as POSCAR:
```
CaSmS2
1.0
-1.996 -0.707 -3.349
3.720 -1.305 0.402
-4.659 -11.666 5.240
Ca Sm S
2 2 4
direct
0.667 0.333 0.250
0.333 0.667 0.750
0.000 0.000 0.500
0.000 0.000 0.000
0.333 0.667 0.377
0.667 0.333 0.877
0.667 0.333 0.623
0.333 0.667 0.123
```

Properties
crystal system	hexagonal
E_tot	-5.755	eV/atom
uncorrected formation energy	-2.0112	eV per atom
offset from the most stable computed form	0.201	eV per formula unit
space group	P6_3/mmc

---

(9)
This record from the Alexandria database describes a relaxed Ca2SmS3 crystal. The functional is PBE.

Geometry as POSCAR:
```
Ca2SmS3
1.0
4.007 0.000 0.000
0.000 5.690 0.000
-2.004 -2.845 6.048
Ca Sm S
2 1 3
direct
0.832 0.832 0.165
0.168 0.168 0.835
0.500 0.500 0.500
0.833 0.333 0.166
0.167 0.667 0.834
0.500 0.000 0.500
```

Properties
crystal system	orthorhombic
E_tot	-5.598	eV/atom
uncorrected formation energy	-2.0809	eV per atom
offset from the most stable computed form	0.016	eV per formula unit
space group	Immm

---

(10)
This record from the Alexandria database describes a relaxed CaSmS2 crystal. The functional is PBE.

Geometry as POSCAR:
```
CaSmS2
1.0
3.987 0.000 0.000
1.994 3.453 0.000
1.994 1.151 6.658
Ca Sm S
1 1 2
direct
0.000 0.000 0.000
0.500 0.500 0.500
0.251 0.251 0.248
0.749 0.749 0.752
```

Properties
crystal system	trigonal
E_tot	-5.805	eV/atom
uncorrected formation energy	-2.0614	eV per atom
offset from the most stable computed form	0.000	eV per formula unit
space group	R-3m

---

(11)
This record from the Alexandria database describes a relaxed Ca3SmS4 crystal. The functional is PBE.

Geometry as POSCAR:
```
Ca3SmS4
1.0
4.016 0.000 0.000
0.000 6.977 -0.063
0.000 -2.259 6.601
Ca Sm S
3 1 4
direct
0.000 0.000 0.500
0.500 0.500 0.500
0.000 0.500 0.000
0.500 0.000 0.000
0.000 0.250 0.250
0.500 0.751 0.249
0.000 0.750 0.750
0.500 0.249 0.751
```

Properties
crystal system	orthorhombic
E_tot	-5.503	eV/atom
uncorrected formation energy	-2.0983	eV per atom
space group	Cmmm

---

(12)
This record from the Alexandria database describes a relaxed CaSmS2 crystal. The functional is PBE.

Geometry as POSCAR:
```
CaSmS2
1.0
-2.658 -0.006 2.895
1.102 -0.842 3.678
0.743 6.484 3.363
Ca Sm S
1 1 2
direct
0.496 0.496 0.513
0.670 0.670 0.991
0.083 0.083 0.751
0.252 0.252 0.244
```

Properties
crystal system	trigonal
E_tot	-5.702	eV/atom
uncorrected formation energy	-1.9584	eV per atom
offset from the most stable computed form	0.412	eV per formula unit
space group	R3m